# MnSiTc2 PBE-GGA relaxed
# Formation energy without anion corrections in eV/f.u.: -0.314
# E in eV/atom: -8.910
# D(E_F) in states/eV/atom: 0.8781
data_MnSiTc2
_chemical_formula_sum 'Mn1 Si1 Tc2'
_cell_length_a 2.7728
_cell_length_b 3.8210
_cell_length_c 4.9737
_cell_angle_alpha 90.00
_cell_angle_beta 90.15
_cell_angle_gamma 90.00
_symmetry_space_group_name_H-M 'P 1 2/m 1'
_symmetry_Int_Tables_number 10
loop_
_symmetry_equiv_pos_as_xyz
'x,y,z'
'-x,-y,-z'
'-x,y,-z'
'x,-y,z'
loop_
_atom_site_label
_atom_site_fract_x
_atom_site_fract_y
_atom_site_fract_z
_atom_site_occupancy
Mn1 0.0000 0.0000 0.0000 1
Si1 0.0000 0.0000 0.5000 1
Tc1 0.4991 0.5000 0.7473 1